The following is a PBE calculation of crystalline Al4GaCu15 at its relaxed geometry, from Alexandria via LeMat-Bulk.

Structure (extended XYZ):
```
20
Lattice="3.672 0.000 0.000 0.000 3.672 0.000 0.000 0.000 18.603" Properties=species:S:1:pos:R:3 pbc="T T T"
Al 0.000 0.000 1.860
Al 0.000 0.000 5.573
Al 0.000 0.000 13.029
Al 0.000 0.000 16.743
Ga 0.000 0.000 9.301
Cu 0.000 1.836 0.000
Cu 0.000 1.836 3.717
Cu 0.000 1.836 7.427
Cu 0.000 1.836 11.176
Cu 0.000 1.836 14.886
Cu 1.836 0.000 0.000
Cu 1.836 0.000 3.717
Cu 1.836 0.000 7.427
Cu 1.836 0.000 11.176
Cu 1.836 0.000 14.886
Cu 1.836 1.836 1.862
Cu 1.836 1.836 5.578
Cu 1.836 1.836 9.301
Cu 1.836 1.836 13.024
Cu 1.836 1.836 16.741
```

Total DFT energy (no corrections) = -4.142 eV/atom
DFT formation energy = -0.170 eV per atom

=====

The following is a PBE calculation of crystalline Al2GaCu8 at its relaxed geometry, from Alexandria via LeMat-Bulk.

Structure (extended XYZ):
```
11
Lattice="6.658 -1.854 0.000 6.658 1.854 0.000 -1.540 0.000 5.644" Properties=species:S:1:pos:R:3 pbc="T T T"
Al 2.725 0.000 0.842
Al 9.052 0.000 4.802
Ga 5.888 0.000 2.822
Cu 0.229 0.000 1.268
Cu 0.806 0.000 3.892
Cu 3.358 0.000 3.312
Cu 5.352 0.000 0.260
Cu 6.425 0.000 5.385
Cu 8.418 0.000 2.332
Cu 10.970 0.000 1.752
Cu 11.547 0.000 4.376
```

Energy relative to the lowest polymorph listed for this composition = 0.000 eV/atom
Total DFT energy (no corrections) = -4.083 eV/atom
DFT formation energy = -0.148 eV per atom

=====

The following is a PBE calculation of crystalline Al2Ga2Cu3 at its relaxed geometry, from Alexandria via LeMat-Bulk.

Structure (extended XYZ):
```
14
Lattice="-3.771 3.771 3.771 3.771 -3.771 3.771 3.771 3.771 -3.771" Properties=species:S:1:pos:R:3 pbc="T T T"
Al 1.950 1.821 -1.821
Al 1.821 -1.821 1.950
Al 1.821 1.821 1.821
Al -1.821 1.950 1.821
Ga 4.271 -0.500 0.500
Ga 0.500 4.271 -0.500
Ga -0.500 0.500 4.271
Ga 3.271 3.271 3.271
Cu 1.886 0.058 0.000
Cu 3.771 1.886 -0.058
Cu 0.058 0.000 1.886
Cu 0.000 1.886 0.058
Cu 1.886 -0.058 3.771
Cu -0.058 3.771 1.886
```

Total DFT energy (no corrections) = -3.720 eV/atom
DFT formation energy = -0.030 eV per atom

=====

The following is a PBE calculation of crystalline AlGa2Cu5 at its relaxed geometry, from Alexandria via LeMat-Bulk.

Structure (extended XYZ):
```
8
Lattice="-1.937 1.937 6.993 1.937 -1.937 6.993 1.937 1.937 -6.993" Properties=species:S:1:pos:R:3 pbc="T T T"
Al 0.000 0.000 0.000
Ga 0.000 0.000 3.512
Ga 0.000 0.000 10.475
Cu 1.937 0.000 1.723
Cu 1.937 0.000 5.270
Cu 0.000 0.000 6.993
Cu 0.000 1.937 1.723
Cu 0.000 1.937 5.270
```

Energy relative to the lowest polymorph listed for this composition = 0.000 eV/atom
Total DFT energy (no corrections) = -3.879 eV/atom
DFT formation energy = -0.094 eV per atom

=====

The following is a PBE calculation of crystalline AlGa2Cu6 at its relaxed geometry, from Alexandria via LeMat-Bulk.

Structure (extended XYZ):
```
9
Lattice="6.750 -2.063 0.000 6.750 2.063 0.000 -1.783 0.000 4.589" Properties=species:S:1:pos:R:3 pbc="T T T"
Al 0.000 0.000 0.000
Ga 0.509 0.000 2.844
Ga 11.208 0.000 1.745
Cu 4.032 0.000 0.241
Cu 3.130 0.000 2.562
Cu 6.293 0.000 1.174
Cu 5.424 0.000 3.415
Cu 8.587 0.000 2.027
Cu 7.685 0.000 4.348
```

Energy relative to the lowest polymorph listed for this composition = 0.169 eV/atom
Total DFT energy (no corrections) = -3.745 eV/atom
DFT formation energy = 0.075 eV per atom

=====

The following is a PBE calculation of crystalline Al4GaCu7 at its relaxed geometry, from Alexandria via LeMat-Bulk.

Structure (extended XYZ):
```
12
Lattice="6.009 -2.151 0.000 6.009 2.151 0.000 -5.895 0.000 6.899" Properties=species:S:1:pos:R:3 pbc="T T T"
Al 0.042 0.000 2.497
Al 2.408 0.000 1.085
Al 3.714 0.000 5.814
Al 6.080 0.000 4.402
Ga 6.009 0.000 0.000
Cu 0.000 0.000 0.000
Cu -3.755 0.000 5.540
Cu -1.792 0.000 4.139
Cu 1.912 0.000 4.094
Cu 4.210 0.000 2.805
Cu 7.914 0.000 2.761
Cu 9.877 0.000 1.360
```

Energy relative to the lowest polymorph listed for this composition = 0.174 eV/atom
Total DFT energy (no corrections) = -3.884 eV/atom
DFT formation energy = 0.005 eV per atom

=====

The following is a PBE calculation of crystalline Al2GaCu at its relaxed geometry, from Alexandria via LeMat-Bulk.

Structure (extended XYZ):
```
8
Lattice="-2.019 2.019 8.460 2.019 -2.019 8.460 2.019 2.019 -8.460" Properties=species:S:1:pos:R:3 pbc="T T T"
Al 3.029 0.928 -2.115
Al 0.928 1.010 2.115
Al -1.010 1.091 6.345
Al 1.091 1.010 10.575
Ga 2.019 0.000 4.230
Ga 0.000 0.000 8.460
Cu 0.000 0.000 0.000
Cu 0.000 2.019 4.230
```

Total DFT energy (no corrections) = -3.555 eV/atom
DFT formation energy = 0.097 eV per atom

=====

The following is a PBE calculation of crystalline Al2GaCu at its relaxed geometry, from Alexandria via LeMat-Bulk.

Structure (extended XYZ):
```
4
Lattice="3.996 0.000 0.000 -1.998 3.460 0.000 0.000 0.000 4.910" Properties=species:S:1:pos:R:3 pbc="T T T"
Al 0.000 2.307 0.985
Al 1.998 1.153 3.925
Ga 0.000 0.000 2.455
Cu 0.000 0.000 0.000
```

Total DFT energy (no corrections) = -3.692 eV/atom
DFT formation energy = -0.040 eV per atom